# 1
TaFe after structural relaxation, computed with PBE.

Structure (extended XYZ):
```
12
Lattice="6.852 0.000 0.000 -3.426 5.934 0.000 0.000 0.000 4.539" Properties=species:S:1:pos:R:3 pbc="T T T"
Ta -1.950 4.707 1.135
Ta 0.325 1.892 1.135
Ta 1.801 0.665 3.404
Ta 1.625 5.270 1.135
Ta 3.101 4.042 3.404
Ta 5.376 1.228 3.404
Fe -1.350 3.732 3.404
Fe 0.870 2.899 3.404
Fe 2.945 0.696 1.135
Fe 0.481 5.238 3.404
Fe 2.557 3.035 1.135
Fe 4.777 2.203 1.135
```

Values from the calculation:
ΔE_f ... 0.29 eV per atom
N(E_F) ... 12.07 states/eV per cell
Space group ... P6_3/m
Magnetic moment ... 2.63 μB per cell

# 2
Ta8Fe after structural relaxation, computed with PBE.

Structure (extended XYZ):
```
9
Lattice="-4.891 4.891 1.636 4.891 -4.891 1.636 4.891 4.891 -1.636" Properties=species:S:1:pos:R:3 pbc="T T T"
Ta 3.245 0.000 0.000
Ta 6.538 0.000 0.000
Ta 0.000 3.245 0.000
Ta 3.323 3.323 0.000
Ta 1.569 -1.569 1.636
Ta -1.569 1.569 1.636
Ta 1.569 1.569 1.636
Ta 0.000 6.538 0.000
Fe 0.000 0.000 0.000
```

Values from the calculation:
ΔE_f ... -0.02 eV per atom
N(E_F) ... 9.94 states/eV per cell
Space group ... I4/mmm
Magnetic moment ... 0.13 μB per cell